(1)
DFT (GGA-PBE) results for a relaxed structure of Re2NiP.

The structure belongs to space group F-43m (No. 216); the cell edges are 6.018, 6.018 and 6.018 Å and the angles 90.00°, 90.00° and 90.00°. The asymmetric unit holds Re at (0.000, 0.000, 0.000), Re at (0.250, 0.250, 0.250), Ni at (0.000, 0.000, 0.500) and P at (0.250, 0.250, 0.750).

The value obtained for the formation energy is 0.387 eV/atom. The value obtained for the volume is 13.62 Å³/atom. The density of states at the Fermi level is 4.695 states/eV/f.u.

=====

(2)
DFT (GGA-PBE) results for a relaxed structure of ReNi2P.

The structure belongs to space group Immm (No. 71); the cell edges are 2.782, 4.092 and 8.387 Å and the angles 90.00°, 90.00° and 90.00°. The asymmetric unit holds Re at (0.000, 0.000, 0.000), Ni at (0.000, 0.500, 0.219) and P at (0.000, 0.000, 0.500).

The value obtained for the formation energy is -0.098 eV/atom. The value obtained for the volume is 11.93 Å³/atom. The density of states at the Fermi level is 4.396 states/eV/f.u.

=====

(3)
DFT (GGA-PBE) results for a relaxed structure of Re2NiP.

The structure belongs to space group C2/m (No. 12); the cell edges are 5.279, 8.011 and 2.779 Å and the angles 90.00°, 112.47° and 90.00°. The asymmetric unit holds Re at (0.250, 0.250, 0.000), Ni at (0.000, 0.000, 0.500) and P at (0.000, 0.500, 0.500).

The value obtained for the formation energy is 0.343 eV/atom. The value obtained for the volume is 13.57 Å³/atom. The density of states at the Fermi level is 3.826 states/eV/f.u.

=====

(4)
DFT (GGA-PBE) results for a relaxed structure of ReNi2P.

The structure belongs to space group Cm (No. 8); the cell edges are 8.016, 2.661 and 4.619 Å and the angles 90.00°, 100.66° and 90.00°. The asymmetric unit holds Re at (0.000, 0.000, 0.000), Ni at (0.245, 0.000, 0.708), Ni at (0.492, 0.000, 0.494) and P at (0.251, 0.500, 0.275).

The value obtained for the formation energy is -0.005 eV/atom. The value obtained for the volume is 12.11 Å³/atom. The density of states at the Fermi level is 3.266 states/eV/f.u.